No. 1
# SCAN YZrRu2, PBEsol geometry
data_YZrRu2
_chemical_formula_sum 'Y4 Zr4 Ru8'
_cell_length_a 6.568
_cell_length_b 6.568
_cell_length_c 6.568
_cell_angle_alpha 90.00
_cell_angle_beta 90.00
_cell_angle_gamma 90.00
_symmetry_space_group_name_H-M 'F m -3 m'
_symmetry_Int_Tables_number 225
_symmetry_space_group_name_Hall '-F 4 2 3'
loop_
_atom_site_label
_atom_site_fract_x
_atom_site_fract_y
_atom_site_fract_z
_atom_site_occupancy
Y1 0.000 0.000 0.000 1
Zr1 0.000 0.000 0.500 1
Ru1 0.250 0.250 0.250 1
# V	17.7	Å³ per atom
# crystal system	cubic
# formation energy	-0.5925	eV/atom
# mass density	8.96	g/cm³

***

No. 2
# SCAN ZnRu, PBEsol geometry
data_ZnRu
_chemical_formula_sum 'Zn2 Ru2'
_cell_length_a 4.0246
_cell_length_b 4.0246
_cell_length_c 4.6512
_cell_angle_alpha 90.00
_cell_angle_beta 90.00
_cell_angle_gamma 120.00
_symmetry_space_group_name_H-M 'P 63/m m c'
_symmetry_Int_Tables_number 194
_symmetry_space_group_name_Hall '-P 6c 2c'
loop_
_atom_site_label
_atom_site_fract_x
_atom_site_fract_y
_atom_site_fract_z
_atom_site_occupancy
Zn1 0.3333 0.6667 0.2500 1
Ru1 0.0000 0.0000 0.0000 1
# V	16.3	Å³ per atom
# crystal system	hexagonal
# formation energy	0.6922	eV/atom
# mass density	8.47	g/cm³

***

No. 3
# SCAN Zn3Ru, PBEsol geometry
data_Zn3Ru
_chemical_formula_sum 'Zn3 Ru1'
_cell_length_a 2.7354
_cell_length_b 2.7354
_cell_length_c 8.3899
_cell_angle_alpha 90.00
_cell_angle_beta 90.00
_cell_angle_gamma 120.00
_symmetry_space_group_name_H-M 'P -6 m 2'
_symmetry_Int_Tables_number 187
_symmetry_space_group_name_Hall 'P -6 2'
loop_
_atom_site_label
_atom_site_fract_x
_atom_site_fract_y
_atom_site_fract_z
_atom_site_occupancy
Zn1 0.0000 0.0000 0.0000 1
Zn2 0.6667 0.3333 0.2531 1
Ru1 0.0000 0.0000 0.5000 1
# V	13.6	Å³ per atom
# crystal system	hexagonal
# formation energy	0.0282	eV/atom
# mass density	9.08	g/cm³